Below is a relaxed structure of Tl2Zn3TcF12, with properties calculated at the PBE level.

Structure (POSCAR):
```
Tl2Zn3TcF12
1.0
3.683 2.126 6.484
-3.683 2.126 6.484
0.000 -4.252 6.484
Tl Zn Tc F
2 3 1 12
Direct
0.093 0.093 0.093 Tl
0.907 0.907 0.907 Tl
0.000 0.500 0.500 Zn
0.500 0.000 0.500 Zn
0.500 0.500 0.000 Zn
0.500 0.500 0.500 Tc
0.175 0.175 0.581 F
0.175 0.581 0.175 F
0.188 0.570 0.570 F
0.419 0.825 0.825 F
0.430 0.430 0.811 F
0.430 0.811 0.430 F
0.570 0.188 0.570 F
0.570 0.570 0.189 F
0.581 0.175 0.175 F
0.811 0.430 0.430 F
0.825 0.419 0.825 F
0.825 0.825 0.419 F
```

symmetry = No. 166
M_tot = 0.167 μB per atom
formation energy without anion corrections = -2.167 eV/atom